# 1
{"formula": "PrReN6", "functional": "PBE", "state": "relaxed", "lattice": [[3.5545, 2.0522, 2.2183], [-3.5545, 2.0522, 2.2183], [0.0000, -4.1044, 2.2183]], "species": ["Pr", "Re", "N", "N", "N", "N", "N", "N"], "fractional_positions": [[0.0000, 0.0000, 0.0000], [0.5000, 0.5000, 0.5000], [0.2041, 0.2041, 0.6044], [0.2041, 0.6044, 0.2041], [0.3956, 0.7959, 0.7959], [0.6044, 0.2041, 0.2041], [0.7959, 0.3956, 0.7959], [0.7959, 0.7959, 0.3956]], "total_energy_ev_per_atom": -7.13, "e_form_raw_ev_per_fu": 10.2}

# 2
{"formula": "Dy2PuSn", "functional": "PBE", "state": "relaxed", "lattice": [[0.0000, 3.7928, 3.7928], [3.7928, 0.0000, 3.7928], [3.7928, 3.7928, 0.0000]], "species": ["Dy", "Dy", "Pu", "Sn"], "fractional_positions": [[0.2500, 0.2500, 0.2500], [0.7500, 0.7500, 0.7500], [0.0000, 0.0000, 0.0000], [0.5000, 0.5000, 0.5000]], "total_energy_ev_per_atom": -7.05, "e_form_mev_per_atom": -166}

# 3
{"formula": "LiLa4Ce3S8", "functional": "PBE", "state": "relaxed", "lattice": [[4.0829, 2.3573, 6.6557], [-4.0829, 2.3573, 6.6557], [0.0000, -4.7145, 6.6557]], "species": ["Li", "La", "La", "La", "La", "Ce", "Ce", "Ce", "S", "S", "S", "S", "S", "S", "S", "S"], "fractional_positions": [[0.0000, 0.0000, 0.0000], [0.0000, 0.0000, 0.5000], [0.0000, 0.5000, 0.0000], [0.5000, 0.0000, 0.0000], [0.5000, 0.5000, 0.5000], [0.0000, 0.5000, 0.5000], [0.5000, 0.0000, 0.5000], [0.5000, 0.5000, 0.0000], [0.2431, 0.2431, 0.7511], [0.2431, 0.7511, 0.2431], [0.2489, 0.7569, 0.7569], [0.2527, 0.2527, 0.2527], [0.7473, 0.7473, 0.7473], [0.7511, 0.2431, 0.2431], [0.7569, 0.2489, 0.7569], [0.7569, 0.7569, 0.2489]], "total_energy_ev_per_atom": -6.55, "e_form_raw_ev_per_fu": -32.3}

# 4
{"formula": "SrZnFe3", "functional": "PBE", "state": "relaxed", "lattice": [[4.6772, 0.0000, 0.0000], [0.0000, 4.6772, 0.0000], [0.0000, 0.0000, 4.6772]], "species": ["Sr", "Zn", "Fe", "Fe", "Fe"], "fractional_positions": [[0.0000, 0.0000, 0.0000], [0.5000, 0.5000, 0.5000], [0.0000, 0.5000, 0.5000], [0.5000, 0.0000, 0.5000], [0.5000, 0.5000, 0.0000]], "total_energy_ev_per_atom": -4.78, "e_form_mev_per_atom": 888}

# 5
{"formula": "MgTl2Sn6", "functional": "PBE", "state": "relaxed", "lattice": [[9.5209, 0.0000, 0.0000], [-4.7605, 8.2454, 0.0000], [0.0000, 0.0000, 3.1900]], "species": ["Mg", "Tl", "Tl", "Sn", "Sn", "Sn", "Sn", "Sn", "Sn"], "fractional_positions": [[0.0000, 0.0000, 0.0000], [0.3333, 0.6667, 0.0000], [0.6667, 0.3333, 0.0000], [0.0000, 0.3233, 0.5000], [0.0000, 0.6767, 0.5000], [0.3233, 0.0000, 0.5000], [0.3233, 0.3233, 0.5000], [0.6767, 0.0000, 0.5000], [0.6767, 0.6767, 0.5000]], "total_energy_ev_per_atom": -3.36, "e_form_mev_per_atom": 9}

# 6
{"formula": "NaPaAsSe", "functional": "PBE", "state": "relaxed", "lattice": [[2.0918, 1.2077, 7.0372], [-2.0918, 1.2077, 7.0372], [0.0000, -2.4155, 7.0372]], "species": ["Na", "Pa", "As", "Se"], "fractional_positions": [[0.0000, 0.0000, 0.0000], [0.4924, 0.4924, 0.4924], [0.7546, 0.7546, 0.7546], [0.2386, 0.2386, 0.2386]], "total_energy_ev_per_atom": -5.76, "e_form_raw_ev_per_fu": -4.1}

# 7
{"formula": "ZnNi4B", "functional": "PBE", "state": "relaxed", "lattice": [[3.4578, 0.0000, 0.0000], [0.0000, 3.4713, 0.0000], [0.0000, 0.0000, 5.8552]], "species": ["Zn", "Ni", "Ni", "Ni", "Ni", "B"], "fractional_positions": [[0.0000, 0.0000, 0.0000], [0.0000, 0.5000, 0.2975], [0.0000, 0.5000, 0.7025], [0.5000, 0.0000, 0.2979], [0.5000, 0.0000, 0.7021], [0.5000, 0.5000, 0.5000]], "total_energy_ev_per_atom": -5.18, "e_form_mev_per_atom": 3}

# 8
{"formula": "Ac3NdAs4", "functional": "PBE", "state": "relaxed", "lattice": [[6.3485, 0.0000, 0.0000], [0.0000, 6.3485, 0.0000], [0.0000, 0.0000, 6.3485]], "species": ["Ac", "Ac", "Ac", "Nd", "As", "As", "As", "As"], "fractional_positions": [[0.0000, 0.0000, 0.5000], [0.0000, 0.5000, 0.0000], [0.5000, 0.0000, 0.0000], [0.5000, 0.5000, 0.5000], [0.0000, 0.0000, 0.0000], [0.0000, 0.5000, 0.5000], [0.5000, 0.0000, 0.5000], [0.5000, 0.5000, 0.0000]], "total_energy_ev_per_atom": -5.92, "e_form_mev_per_atom": -1461}

# 9
{"formula": "ScRhC2", "functional": "PBE", "state": "relaxed", "lattice": [[0.0000, 2.7665, 2.7665], [2.7665, 0.0000, 2.7665], [2.7665, 2.7665, 0.0000]], "species": ["Sc", "Rh", "C", "C"], "fractional_positions": [[0.0000, 0.0000, 0.0000], [0.5000, 0.5000, 0.5000], [0.2500, 0.2500, 0.2500], [0.7500, 0.7500, 0.7500]], "total_energy_ev_per_atom": -7.42, "e_form_mev_per_atom": 617}

# 10
{"formula": "Li2AcPtO5", "functional": "PBE", "state": "relaxed", "lattice": [[-2.0287, 2.7656, 4.9435], [2.0287, -2.7656, 4.9435], [2.0287, 2.7656, -4.9435]], "species": ["Li", "Li", "Ac", "Pt", "O", "O", "O", "O", "O"], "fractional_positions": [[0.2173, 0.2173, 0.0000], [0.7827, 0.7827, 0.0000], [0.5000, 0.0000, 0.5000], [0.0000, 0.5000, 0.5000], [0.0000, 0.0000, 0.0000], [0.1260, 0.3637, 0.7623], [0.3987, 0.6363, 0.7623], [0.6013, 0.3637, 0.2377], [0.8740, 0.6363, 0.2377]], "total_energy_ev_per_atom": -5.95, "e_form_raw_ev_per_fu": -14.8}

# 11
{"formula": "TlNiCl", "functional": "PBE", "state": "relaxed", "lattice": [[3.7509, 0.0000, 0.0000], [-1.8755, 3.2484, 0.0000], [0.0000, 0.0000, 5.6465]], "species": ["Tl", "Ni", "Cl"], "fractional_positions": [[0.0000, 0.0000, 0.0000], [0.3333, 0.6667, 0.6256], [0.6667, 0.3333, 0.5424]], "total_energy_ev_per_atom": -3.40, "e_form_raw_ev_per_fu": -0.2}

# 12
{"formula": "NaTeMoN2", "functional": "PBE", "state": "relaxed", "lattice": [[3.9943, 0.0000, 0.0000], [0.0000, 3.9943, 0.0000], [0.0000, 0.0000, 5.6316]], "species": ["Na", "Te", "Mo", "N", "N"], "fractional_positions": [[0.0000, 0.0000, 0.0000], [0.5000, 0.5000, 0.0000], [0.5000, 0.5000, 0.5000], [0.0000, 0.5000, 0.5000], [0.5000, 0.0000, 0.5000]], "total_energy_ev_per_atom": -6.16, "e_form_raw_ev_per_fu": 1.2}